1.
Compound: CaInIrSe2
Source: Alexandria
Functional: PBE
Structure: relaxed

Lattice parameters (Å, degrees): 5.2125 5.2125 5.0851 90.00 90.00 90.00
Atoms (fractional coordinates):
Ca1 0.0000 0.0000 0.0000
In1 0.5000 0.5000 0.5000
Ir1 0.5000 0.5000 0.0000
Se1 0.0000 0.5000 0.5000
Se2 0.5000 0.0000 0.5000

Calculated values
For the uncorrected formation energy, the calculation gives 0.2434 eV/atom. The total magnetization comes out at 0.001 μB/cell. For the total energy, the calculation gives -19.35 eV/cell.



2.
Compound: AlSnPb
Source: Alexandria
Functional: PBE
Structure: relaxed

Lattice parameters (Å, degrees): 3.3503 3.3701 7.2769 103.32 100.55 94.71
Atoms (fractional coordinates):
Al1 0.0000 0.0000 0.0000
Sn1 0.3923 0.3525 0.7196
Pb1 0.6036 0.6692 0.3199

Calculated values
The total magnetization comes out at 0.000 μB/cell. For the total energy, the calculation gives -11.00 eV/cell. For the calculated formation energy, the calculation gives 0.15 eV/atom. The distance to the lowest polymorph of the same formula is 9 kJ/mol of formula units.



3.
Compound: Ho3TlTe
Source: Alexandria
Functional: PBE
Structure: relaxed

Lattice parameters (Å, degrees): 11.9793 3.9213 12.6062 90.00 90.00 90.00
Atoms (fractional coordinates):
Ho1 0.0641 0.2500 0.1327
Ho2 0.1364 0.7500 0.5508
Ho3 0.2202 0.2500 0.7787
Ho4 0.2798 0.7500 0.2787
Ho5 0.3636 0.2500 0.0508
Ho6 0.4359 0.7500 0.6327
Ho7 0.5641 0.2500 0.3673
Ho8 0.6364 0.7500 0.9492
Ho9 0.7202 0.2500 0.7213
Ho10 0.7798 0.7500 0.2213
Ho11 0.8636 0.2500 0.4492
Ho12 0.9359 0.7500 0.8673
Tl1 0.0203 0.7500 0.3231
Tl2 0.4797 0.2500 0.8231
Tl3 0.5203 0.7500 0.1769
Tl4 0.9797 0.2500 0.6769
Te1 0.1709 0.7500 0.9696
Te2 0.3291 0.2500 0.4696
Te3 0.6709 0.7500 0.5304
Te4 0.8291 0.2500 0.0304

Calculated values
For the uncorrected formation energy, the calculation gives -0.6095 eV/atom. The total magnetization comes out at 0.000 μB/cell. For the total energy, the calculation gives -89.15 eV/cell. The distance to the lowest polymorph of the same formula is 0 kJ/mol of formula units.



4.
Compound: NdCdPt
Source: Alexandria
Functional: PBE
Structure: relaxed

Lattice parameters (Å, degrees): 5.1895 5.5201 5.5804 90.00 116.92 90.00
Atoms (fractional coordinates):
Nd1 0.0552 0.2500 0.2608
Nd2 0.9448 0.7500 0.7392
Cd1 0.3802 0.2500 0.8876
Cd2 0.6198 0.7500 0.1124
Pt1 0.2584 0.7500 0.3780
Pt2 0.7416 0.2500 0.6220

Calculated values
The total magnetization comes out at 0.000 μB/cell. For the total energy, the calculation gives -27.56 eV/cell. For the calculated formation energy, the calculation gives -0.69 eV/atom.